Here is a geometry-optimized CsRbNd2S4 structure from OQMD. Energies are from PBE-GGA.

Symmetry: P-6m2
Calculated density: 4.31 g cm⁻³
Raw total energy: -42.39 eV/cell

Unit cell a=4.230 b=4.230 c=15.805 alpha=90.00 beta=90.00 gamma=120.00
Sites, in units of the cell vectors:
Cs: 0.000 0.000 0.000
Rb: 0.333 0.667 0.500
Nd: 0.667 0.333 0.256
Nd: 0.667 0.333 0.744
S: 0.000 0.000 0.352
S: 0.000 0.000 0.648
S: 0.333 0.667 0.160
S: 0.333 0.667 0.840